Below is a relaxed structure of LaPr2In6, with properties calculated at the PBE level.

It has space group Immm (No. 71), with a = 4.729 Å, b = 7.821 Å, c = 14.843 Å, α = 90.00°, β = 90.00° and γ = 90.00°. Symmetry generates all atoms from La at (0.000, 0.000, 0.000), Pr at (0.000, 0.500, 0.123), In at (0.000, 0.191, 0.500) and In at (0.000, 0.306, 0.312).

The energy above the most stable polymorph in this dataset is 0.130 eV/atom. For the density of states at the Fermi level, the calculation gives 10.14 states/eV/cell. The value obtained for the formation energy is -0.354 eV/atom.


Below is a relaxed structure of La2TeCl, with properties calculated at the PBE level.

It has space group Cmmm (No. 65), with a = 4.171 Å, b = 6.601 Å, c = 9.211 Å, α = 90.00°, β = 90.00° and γ = 90.00°. Symmetry generates all atoms from La at (0.000, 0.000, 0.250), Te at (0.000, 0.500, 0.000) and Cl at (0.000, 0.500, 0.500).

The energy above the most stable polymorph in this dataset is 0.297 eV/atom. For the density of states at the Fermi level, the calculation gives 6.70 states/eV/cell.


Below is a relaxed structure of Ga2Cu3Au3, with properties calculated at the PBE level.

It has space group R32 (No. 155, hexagonal axes), with a = 7.0152 Å, b = 7.0152 Å, c = 8.7506 Å, α = 90.00°, β = 90.00° and γ = 120.00°. Symmetry generates all atoms from Ga at (0.0000, 0.0000, 0.2439), Cu at (0.0000, 0.2473, 0.0000) and Au at (0.0000, 0.7434, 0.5000).

The energy above the most stable polymorph in this dataset is 0.000 eV/atom. For the density of states at the Fermi level, the calculation gives 8.77 states/eV/cell. The value obtained for the formation energy is -0.058 eV/atom.


Below is a relaxed structure of BeBiRhPb2, with properties calculated at the PBE level.

It has space group P4/mmm (No. 123), with a = 5.396 Å, b = 5.396 Å, c = 4.336 Å, α = 90.00°, β = 90.00° and γ = 90.00°. Symmetry generates all atoms from Be at (0.000, 0.000, 0.000), Bi at (0.500, 0.500, 0.000), Rh at (0.000, 0.000, 0.500) and Pb at (0.000, 0.500, 0.500).

For the density of states at the Fermi level, the calculation gives 3.69 states/eV/cell. The value obtained for the formation energy is 0.233 eV/atom.


Below is a relaxed structure of LiTcSb2, with properties calculated at the PBE level.

It has space group Cm (No. 8), with a = 9.968 Å, b = 3.342 Å, c = 4.511 Å, α = 90.00°, β = 90.10° and γ = 90.00°. Symmetry generates all atoms from Li at (0.000, 0.000, 0.000), Tc at (0.346, 0.500, 0.499), Sb at (0.060, 0.500, 0.500) and Sb at (0.271, 0.000, 0.999).

The energy above the most stable polymorph in this dataset is 0.141 eV/atom. For the density of states at the Fermi level, the calculation gives 4.67 states/eV/cell.


Below is a relaxed structure of SiAg2S2, with properties calculated at the PBE level.

It has space group P4/mbm (No. 127), with a = 7.055 Å, b = 7.055 Å, c = 3.761 Å, α = 90.00°, β = 90.00° and γ = 90.00°. Symmetry generates all atoms from Si at (0.000, 0.000, 0.000), Ag at (0.139, 0.361, 0.500) and S at (0.181, 0.681, 0.000).

The energy above the most stable polymorph in this dataset is 0.000 eV/atom. For the density of states at the Fermi level, the calculation gives 3.62 states/eV/cell.


| no. | M_tot (Bohr magnetons per cell) |
| --- | --- |
| 1 | 0.0 |
| 2 | 0.0 |
| 3 | 0.0 |
| 4 | 0.0 |
| 5 | 0.0 |
| 6 | 0.0 |